(1)
DFT (PBE-GGA) results for crystalline Y4AgSe3 at its relaxed geometry.

abc: 8.4136 11.6830 4.0388
angles: 90.00 90.00 90.00
Closest atoms and distances in Å follow each position.
Element x y z (fractional)
Y: 0.0000 0.2484 0.0000  5 Se 2.90-2.92, 1 Ag 2.94
Y: 0.0000 0.7516 0.0000  5 Se 2.90-2.92, 1 Ag 2.94
Y: 0.2473 0.0000 0.5000  4 Se 2.90-2.92, 2 Ag 2.93
Y: 0.2527 0.5000 0.5000  4 Se 2.90-2.92, 2 Ag 2.93
Y: 0.5000 0.2516 0.0000  5 Se 2.90-2.92, 1 Ag 2.94
Y: 0.5000 0.7484 0.0000  5 Se 2.90-2.92, 1 Ag 2.94
Y: 0.7473 0.5000 0.5000  4 Se 2.90-2.92, 2 Ag 2.93
Y: 0.7527 0.0000 0.5000  4 Se 2.90-2.92, 2 Ag 2.93
Ag: 0.0000 0.5000 0.0000  6 Y 2.93-2.94
Ag: 0.5000 0.0000 0.0000  6 Y 2.93-2.94
Se: 0.0000 0.0000 0.0000  6 Y 2.90
Se: 0.2500 0.2500 0.5000  6 Y 2.92
Se: 0.2500 0.7500 0.5000  6 Y 2.92
Se: 0.5000 0.5000 0.0000  6 Y 2.90
Se: 0.7500 0.2500 0.5000  6 Y 2.92
Se: 0.7500 0.7500 0.5000  6 Y 2.92

Summary:
Formation energy without anion corrections, eV per atom: -1.3788

(2)
DFT (PBE-GGA) results for crystalline Ga3AuS at its relaxed geometry.

abc: 4.8313 4.8313 4.8313
angles: 90.00 90.00 90.00
Closest atoms and distances in Å follow each position.
Element x y z (fractional)
Ga: 0.0000 0.0000 0.5000  2 S 2.42
Ga: 0.0000 0.5000 0.0000  2 S 2.42
Ga: 0.5000 0.0000 0.0000  2 S 2.42
Au: 0.5000 0.5000 0.5000  12 Ga 3.42
S: 0.0000 0.0000 0.0000  6 Ga 2.42

Summary:
Energy relative to the lowest polymorph listed for this composition, meV/atom: 292
Formation energy without anion corrections, eV per atom: 0.3533

(3)
DFT (PBE-GGA) results for crystalline La2SbO2 at its relaxed geometry.

abc: 4.0610 4.0610 14.0680
angles: 90.00 90.00 90.00
Closest atoms and distances in Å follow each position.
Element x y z (fractional)
La: 0.0000 0.0000 0.1628  4 O 2.37
La: 0.0000 0.0000 0.8372  4 O 2.37
La: 0.5000 0.5000 0.3372  4 O 2.37
La: 0.5000 0.5000 0.6628  4 O 2.37
Sb: 0.0000 0.0000 0.5000  8 La 3.67, 4 Sb 4.06, 8 O 4.06
Sb: 0.5000 0.5000 0.0000  8 La 3.67, 4 Sb 4.06, 8 O 4.06
O: 0.0000 0.5000 0.2500  4 La 2.37
O: 0.0000 0.5000 0.7500  4 La 2.37
O: 0.5000 0.0000 0.2500  4 La 2.37
O: 0.5000 0.0000 0.7500  4 La 2.37

Summary:
Energy relative to the lowest polymorph listed for this composition, meV/atom: 0
Formation energy without anion corrections, eV per atom: -2.7242

(4)
DFT (PBE-GGA) results for crystalline Mo2AsPt at its relaxed geometry.

abc: 4.1719 2.8564 10.5061
angles: 90.00 90.00 90.00
Closest atoms and distances in Å follow each position.
Element x y z (fractional)
Mo: 0.0000 0.0000 0.0000  1 As 2.52
Mo: 0.0000 0.5000 0.5000  1 As 2.52
Mo: 0.5000 0.0000 0.3667  3 Pt 2.70-2.92, 4 As 2.76, 6 Mo 2.86-2.89
Mo: 0.5000 0.5000 0.8667  3 Pt 2.70-2.92, 4 As 2.76, 6 Mo 2.86-2.89
As: 0.0000 0.0000 0.7604  5 Mo 2.52-2.76, 2 Pt 2.53
As: 0.0000 0.5000 0.2604  5 Mo 2.52-2.76, 2 Pt 2.53
Pt: 0.5000 0.0000 0.6241  2 As 2.53, 1 Mo 2.70
Pt: 0.5000 0.5000 0.1241  2 As 2.53, 1 Mo 2.70

Summary:
Formation enthalpy at 0 K, meV per atom: -40

(5)
DFT (PBE-GGA) results for crystalline Mn3V7Cr2 at its relaxed geometry.

abc: 10.2300 10.2300 3.9412
angles: 90.00 90.00 156.65
Closest atoms and distances in Å follow each position.
Element x y z (fractional)
Mn: 0.0000 0.0000 0.0000  8 V 2.46-2.57
Mn: 0.1460 0.8540 0.0000  6 V 2.39-2.50
Mn: 0.8540 0.1460 0.0000  6 V 2.39-2.50
V: 0.0735 0.9265 0.5000  4 Mn 2.45-2.46, 2 V 2.54, 2 Cr 2.54
V: 0.2131 0.7869 0.5000  2 Mn 2.39, 2 Cr 2.45, 2 V 2.54
V: 0.4238 0.5762 0.0000  2 Cr 2.43, 2 V 2.49, 4 Mn 2.50-2.57
V: 0.5000 0.5000 0.5000  8 V 2.49-2.54
V: 0.5762 0.4238 0.0000  2 Cr 2.43, 2 V 2.49, 4 Mn 2.50-2.57
V: 0.7869 0.2131 0.5000  2 Mn 2.39, 2 Cr 2.45, 2 V 2.54
V: 0.9265 0.0735 0.5000  4 Mn 2.45-2.46, 2 V 2.54, 2 Cr 2.54
Cr: 0.3526 0.6474 0.5000  6 V 2.43-2.54
Cr: 0.6474 0.3526 0.5000  6 V 2.43-2.54

Summary:
Formation enthalpy at 0 K, meV per atom: 294

(6)
DFT (PBE-GGA) results for crystalline TaTc2As at its relaxed geometry.

abc: 3.1641 3.1641 6.1720
angles: 90.00 90.00 90.00
Closest atoms and distances in Å follow each position.
Element x y z (fractional)
Ta: 0.0000 0.0000 0.0000  8 Tc 2.74
Tc: 0.5000 0.5000 0.2576  4 As 2.69, 4 Ta 2.74, 1 Tc 2.99
Tc: 0.5000 0.5000 0.7424  4 As 2.69, 4 Ta 2.74, 1 Tc 2.99
As: 0.0000 0.0000 0.5000  8 Tc 2.69

Summary:
Formation enthalpy at 0 K, meV per atom: -216

(7)
DFT (PBE-GGA) results for crystalline Pm3Sm2Ho6 at its relaxed geometry.

abc: 16.9372 16.9372 16.9372
angles: 163.86 163.86 22.90
Closest atoms and distances in Å follow each position.
Element x y z (fractional)
Pm: 0.0000 0.0000 0.0000  8 Sm 3.69
Pm: 0.2029 0.2029 0.0000  9 Ho 3.38-3.61
Pm: 0.7971 0.7971 0.0000  9 Ho 3.38-3.61
Sm: 0.4539 0.4539 0.0000  1 Sm 3.06
Sm: 0.5461 0.5461 0.0000  1 Sm 3.06
Ho: 0.1209 0.6209 0.5000  6 Ho 3.36-3.39, 2 Sm 3.44, 2 Pm 3.61
Ho: 0.3064 0.3064 0.0000  5 Pm 3.38-3.44, 4 Ho 3.39
Ho: 0.3791 0.8791 0.5000  6 Ho 3.36-3.39, 2 Sm 3.44, 2 Pm 3.61
Ho: 0.6209 0.1209 0.5000  6 Ho 3.36-3.39, 2 Sm 3.44, 2 Pm 3.61
Ho: 0.6936 0.6936 0.0000  5 Pm 3.38-3.44, 4 Ho 3.39
Ho: 0.8791 0.3791 0.5000  6 Ho 3.36-3.39, 2 Sm 3.44, 2 Pm 3.61

Summary:
Energy relative to the lowest polymorph listed for this composition, meV/atom: 74
Formation enthalpy at 0 K, meV per atom: 265

(8)
DFT (PBE-GGA) results for crystalline V2Mo3 at its relaxed geometry.

abc: 7.5506 4.3710 5.1597
angles: 90.00 119.32 90.00
Closest atoms and distances in Å follow each position.
Element x y z (fractional)
V: 0.1019 0.0000 0.3059  7 Mo 2.66-2.69, 1 V 2.75
V: 0.3981 0.5000 0.6941  7 Mo 2.66-2.69, 1 V 2.75
V: 0.6019 0.5000 0.3059  7 Mo 2.66-2.69, 1 V 2.75
V: 0.8981 0.0000 0.6941  7 Mo 2.66-2.69, 1 V 2.75
Mo: 0.0000 0.5000 0.5000  6 V 2.66-2.67, 2 Mo 2.69
Mo: 0.1999 0.5000 0.0990  4 Mo 2.67-2.69, 4 V 2.68-2.69
Mo: 0.3001 0.0000 0.9010  4 Mo 2.67-2.69, 4 V 2.68-2.69
Mo: 0.5000 0.0000 0.5000  6 V 2.66-2.67, 2 Mo 2.69
Mo: 0.6999 0.0000 0.0990  4 Mo 2.67-2.69, 4 V 2.68-2.69
Mo: 0.8001 0.5000 0.9010  4 Mo 2.67-2.69, 4 V 2.68-2.69

Summary:
Energy relative to the lowest polymorph listed for this composition, meV/atom: 0
Formation enthalpy at 0 K, meV per atom: -141

> Which formula does entry 2 have?

Ga3AuS